[1]
A plane-wave DFT calculation with PBE was carried out for NdErZr2 after structural relaxation.

Values from the calculation:
Density ... 7.59 Mg/m³
E_tot ... -6.447 eV per atom
E above lowest polymorph ... 0.006 eV per atom

a b c (Å): 3.363 3.363 33.079
angles (deg): 90.00 90.00 120.00
Fractional coordinates of all 12 atoms:
Nd1 0.000 0.000 0.000
Nd2 0.333 0.667 0.667
Nd3 0.667 0.333 0.333
Er1 0.000 0.000 0.500
Er2 0.333 0.667 0.167
Er3 0.667 0.333 0.833
Zr1 0.000 0.000 0.249
Zr2 0.000 0.000 0.751
Zr3 0.333 0.667 0.418
Zr4 0.333 0.667 0.915
Zr5 0.667 0.333 0.085
Zr6 0.667 0.333 0.582


[2]
A plane-wave DFT calculation with PBE was carried out for RbTeRh2W after structural relaxation.

Values from the calculation:
Density ... 6.70 Mg/m³
E_tot ... -4.537 eV per atom

a b c (Å): 4.942 4.942 6.119
angles (deg): 90.00 90.00 90.00
Fractional coordinates of all 5 atoms:
Rb1 0.000 0.000 0.000
Te1 0.000 0.000 0.500
Rh1 0.000 0.500 0.500
Rh2 0.500 0.000 0.500
W1 0.500 0.500 0.000


[3]
A plane-wave DFT calculation with PBE was carried out for TbPmIr2 after structural relaxation.

Values from the calculation:
Density ... 13.54 Mg/m³
E_tot ... -7.461 eV per atom
E above lowest polymorph ... 0.012 eV per atom

a b c (Å): 4.820 3.629 9.650
angles (deg): 90.00 90.00 90.00
Fractional coordinates of all 8 atoms:
Tb1 0.250 0.000 0.123
Tb2 0.750 0.000 0.877
Pm1 0.250 0.000 0.627
Pm2 0.750 0.000 0.373
Ir1 0.250 0.500 0.369
Ir2 0.250 0.500 0.880
Ir3 0.750 0.500 0.120
Ir4 0.750 0.500 0.631


[4]
A plane-wave DFT calculation with PBE was carried out for Ac4Sm5Ho after structural relaxation.

Values from the calculation:
Density ... 8.05 Mg/m³
E_tot ... -4.416 eV per atom

a b c (Å): 3.817 3.817 25.827
angles (deg): 90.00 90.00 90.00
Fractional coordinates of all 10 atoms:
Ac1 0.000 0.000 0.102
Ac2 0.000 0.000 0.306
Ac3 0.000 0.000 0.694
Ac4 0.000 0.000 0.898
Sm1 0.500 0.500 0.000
Sm2 0.500 0.500 0.204
Sm3 0.500 0.500 0.409
Sm4 0.500 0.500 0.591
Sm5 0.500 0.500 0.796
Ho1 0.000 0.000 0.500


[5]
A plane-wave DFT calculation with PBE was carried out for LiPaH3 after structural relaxation.

Values from the calculation:
Density ... 8.63 Mg/m³
E_tot ... -4.421 eV per atom

a b c (Å): 3.593 3.593 3.593
angles (deg): 90.00 90.00 90.00
Fractional coordinates of all 5 atoms:
Li1 0.000 0.000 0.000
Pa1 0.500 0.500 0.500
H1 0.000 0.000 0.500
H2 0.000 0.500 0.000
H3 0.500 0.000 0.000


[6]
A plane-wave DFT calculation with PBE was carried out for Pt2C after structural relaxation.

Values from the calculation:
Density ... 12.76 Mg/m³
E_tot ... -6.368 eV per atom
E above lowest polymorph ... 0.177 eV per atom

a b c (Å): 2.896 7.092 10.194
angles (deg): 90.00 90.00 90.00
Fractional coordinates of all 12 atoms:
Pt1 0.000 0.000 0.133
Pt2 0.000 0.000 0.867
Pt3 0.000 0.500 0.367
Pt4 0.000 0.500 0.633
Pt5 0.500 0.000 0.367
Pt6 0.500 0.000 0.633
Pt7 0.500 0.500 0.133
Pt8 0.500 0.500 0.867
C1 0.000 0.000 0.500
C2 0.000 0.500 0.000
C3 0.500 0.000 0.000
C4 0.500 0.500 0.500


[7]
A plane-wave DFT calculation with PBE was carried out for CaNd2MgTl4 after structural relaxation.

Values from the calculation:
Density ... 8.55 Mg/m³
E_tot ... -3.148 eV per atom

a b c (Å): 9.565 9.565 9.565
angles (deg): 32.72 32.72 32.72
Fractional coordinates of all 8 atoms:
Ca1 0.000 0.000 0.000
Nd1 0.243 0.243 0.243
Nd2 0.757 0.757 0.757
Mg1 0.500 0.500 0.500
Tl1 0.124 0.124 0.124
Tl2 0.374 0.374 0.374
Tl3 0.626 0.626 0.626
Tl4 0.876 0.876 0.876


[8]
A plane-wave DFT calculation with PBE was carried out for LiY6Pt5 after structural relaxation.

Values from the calculation:
Density ... 9.64 Mg/m³
E_tot ... -6.950 eV per atom

a b c (Å): 8.643 8.643 8.643
angles (deg): 146.82 131.78 59.78
Fractional coordinates of all 12 atoms:
Li1 0.000 0.000 0.000
Y1 0.086 0.830 0.255
Y2 0.261 0.500 0.761
Y3 0.425 0.170 0.255
Y4 0.575 0.830 0.745
Y5 0.739 0.500 0.239
Y6 0.914 0.170 0.745
Pt1 0.152 0.652 0.500
Pt2 0.326 0.326 0.000
Pt3 0.500 0.000 0.500
Pt4 0.674 0.674 0.000
Pt5 0.848 0.348 0.500


[9]
A plane-wave DFT calculation with PBE was carried out for Sr2InAs after structural relaxation.

Values from the calculation:
Density ... 4.85 Mg/m³
E_tot ... -3.288 eV per atom
E above lowest polymorph ... 0.121 eV per atom

a b c (Å): 4.084 5.114 11.973
angles (deg): 90.00 90.00 90.00
Fractional coordinates of all 8 atoms:
Sr1 0.000 0.000 0.000
Sr2 0.000 0.500 0.218
Sr3 0.500 0.000 0.718
Sr4 0.500 0.500 0.500
In1 0.000 0.000 0.420
In2 0.500 0.500 0.920
As1 0.000 0.500 0.744
As2 0.500 0.000 0.244


[10]
A plane-wave DFT calculation with PBE was carried out for BeTlCd2 after structural relaxation.

Values from the calculation:
Density ... 8.64 Mg/m³
E_tot ... -1.504 eV per atom
E above lowest polymorph ... 0.188 eV per atom

a b c (Å): 4.381 4.381 8.776
angles (deg): 90.00 90.00 90.00
Fractional coordinates of all 8 atoms:
Be1 0.000 0.000 0.000
Be2 0.500 0.500 0.500
Tl1 0.000 0.500 0.250
Tl2 0.500 0.000 0.750
Cd1 0.000 0.000 0.500
Cd2 0.000 0.500 0.750
Cd3 0.500 0.000 0.250
Cd4 0.500 0.500 0.000


[11]
A plane-wave DFT calculation with PBE was carried out for TbPrGaIr after structural relaxation.

Values from the calculation:
Density ... 9.61 Mg/m³
E_tot ... -5.991 eV per atom
E above lowest polymorph ... 0.000 eV per atom

a b c (Å): 4.002 4.297 11.283
angles (deg): 90.00 90.00 90.00
Fractional coordinates of all 8 atoms:
Tb1 0.000 0.000 0.000
Tb2 0.000 0.500 0.500
Pr1 0.500 0.000 0.715
Pr2 0.500 0.500 0.215
Ga1 0.000 0.000 0.304
Ga2 0.000 0.500 0.804
Ir1 0.500 0.000 0.449
Ir2 0.500 0.500 0.949


[12]
A plane-wave DFT calculation with PBE was carried out for CaLaCd after structural relaxation.

Values from the calculation:
Density ... 4.71 Mg/m³
E_tot ... -2.296 eV per atom
E above lowest polymorph ... 0.530 eV per atom

a b c (Å): 7.437 7.437 7.437
angles (deg): 90.00 90.00 90.00
Fractional coordinates of all 12 atoms:
Ca1 0.000 0.000 0.000
Ca2 0.000 0.500 0.500
Ca3 0.500 0.000 0.500
Ca4 0.500 0.500 0.000
La1 0.250 0.250 0.750
La2 0.250 0.750 0.250
La3 0.750 0.250 0.250
La4 0.750 0.750 0.750
Cd1 0.250 0.250 0.250
Cd2 0.250 0.750 0.750
Cd3 0.750 0.250 0.750
Cd4 0.750 0.750 0.250


[13]
A plane-wave DFT calculation with PBE was carried out for CsTl6S4 after structural relaxation.

Values from the calculation:
Density ... 7.37 Mg/m³
E_tot ... -3.201 eV per atom

a b c (Å): 9.157 9.157 4.614
angles (deg): 90.00 90.00 120.00
Fractional coordinates of all 11 atoms:
Cs1 0.000 0.000 0.000
Tl1 0.197 0.395 0.500
Tl2 0.197 0.803 0.500
Tl3 0.543 0.086 0.000
Tl4 0.543 0.457 0.000
Tl5 0.605 0.803 0.500
Tl6 0.914 0.457 0.000
S1 0.333 0.667 0.000
S2 0.341 0.170 0.500
S3 0.830 0.170 0.500
S4 0.830 0.659 0.500


[14]
A plane-wave DFT calculation with PBE was carried out for Li7Ca3Au4 after structural relaxation.

Values from the calculation:
Density ... 5.41 Mg/m³
E_tot ... -2.813 eV per atom

a b c (Å): 8.415 8.415 10.295
angles (deg): 124.76 124.76 29.93
Fractional coordinates of all 14 atoms:
Li1 0.000 0.000 0.000
Li2 0.166 0.166 0.927
Li3 0.319 0.319 0.488
Li4 0.486 0.486 0.205
Li5 0.514 0.514 0.795
Li6 0.681 0.681 0.512
Li7 0.834 0.834 0.073
Ca1 0.000 0.000 0.500
Ca2 0.303 0.303 0.783
Ca3 0.697 0.697 0.217
Au1 0.107 0.107 0.322
Au2 0.338 0.338 0.241
Au3 0.662 0.662 0.759
Au4 0.893 0.893 0.678


[15]
A plane-wave DFT calculation with PBE was carried out for ZrTlSi2 after structural relaxation.

Values from the calculation:
Density ... 7.52 Mg/m³
E_tot ... -5.380 eV per atom
E above lowest polymorph ... 0.157 eV per atom

a b c (Å): 3.471 3.471 6.449
angles (deg): 90.00 90.00 90.00
Fractional coordinates of all 4 atoms:
Zr1 0.000 0.000 0.000
Tl1 0.500 0.500 0.678
Si1 0.000 0.000 0.404
Si2 0.500 0.500 0.222


[16]
A plane-wave DFT calculation with PBE was carried out for Li3BiPb after structural relaxation.

Values from the calculation:
Density ... 5.16 Mg/m³
E_tot ... -2.698 eV per atom
E above lowest polymorph ... 0.340 eV per atom

a b c (Å): 5.199 5.199 5.199
angles (deg): 90.00 90.00 90.00
Fractional coordinates of all 5 atoms:
Li1 0.000 0.000 0.500
Li2 0.000 0.500 0.000
Li3 0.500 0.000 0.000
Bi1 0.000 0.000 0.000
Pb1 0.500 0.500 0.500


[17]
A plane-wave DFT calculation with PBE was carried out for Ca2CeHoS4 after structural relaxation.

Values from the calculation:
Density ... 4.72 Mg/m³
E_tot ... -5.905 eV per atom

a b c (Å): 6.888 3.971 6.994
angles (deg): 90.00 109.09 90.00
Fractional coordinates of all 8 atoms:
Ca1 0.000 0.000 0.000
Ca2 0.500 0.500 0.000
Ce1 0.000 0.500 0.500
Ho1 0.500 0.000 0.500
S1 0.258 0.000 0.752
S2 0.258 0.500 0.254
S3 0.742 0.000 0.248
S4 0.742 0.500 0.746


[18]
A plane-wave DFT calculation with PBE was carried out for PuS after structural relaxation.

Values from the calculation:
Density ... 11.26 Mg/m³
E_tot ... -10.701 eV per atom

a b c (Å): 3.440 3.440 3.440
angles (deg): 90.00 90.00 90.00
Fractional coordinates of all 2 atoms:
Pu1 0.000 0.000 0.000
S1 0.500 0.500 0.500


[19]
A plane-wave DFT calculation with PBE was carried out for NaCd2AsPb after structural relaxation.

Values from the calculation:
Density ... 5.73 Mg/m³
E_tot ... -1.590 eV per atom

a b c (Å): 5.195 5.195 5.691
angles (deg): 90.00 90.00 90.00
Fractional coordinates of all 5 atoms:
Na1 0.000 0.000 0.000
Cd1 0.000 0.500 0.000
Cd2 0.500 0.000 0.000
As1 0.500 0.500 0.500
Pb1 0.000 0.000 0.500


[20]
A plane-wave DFT calculation with PBE was carried out for U2PH after structural relaxation.

Values from the calculation:
Density ... 13.55 Mg/m³
E_tot ... -7.982 eV per atom
E above lowest polymorph ... 0.000 eV per atom

a b c (Å): 3.241 3.241 5.925
angles (deg): 90.00 90.00 90.00
Fractional coordinates of all 4 atoms:
U1 0.000 0.000 0.211
U2 0.000 0.000 0.789
P1 0.500 0.500 0.500
H1 0.500 0.500 0.000